PBE Th3ScPb4, optimized geometry; N(E_F) = 7.44 states/eV/f.u.; V = 31.74 Å³ per atom; formation energy = 0.003 eV per atom
1.0
6.6353 0.0000 0.0000
0.0000 11.8726 0.0000
0.0000 0.0000 6.4455
Th Sc Pb
6 2 8
direct
0.0000 0.1374 0.0000
0.2481 0.3528 0.5972
0.2519 0.6472 0.0972
0.5000 0.8626 0.5000
0.7481 0.6472 0.0972
0.7519 0.3528 0.5972
0.0000 0.8454 0.7185
0.5000 0.1546 0.2185
0.0000 0.0974 0.5051
0.0000 0.8801 0.2176
0.2492 0.6267 0.6007
0.2508 0.3733 0.1007
0.5000 0.1199 0.7176
0.5000 0.9026 0.0051
0.7492 0.3733 0.1007
0.7508 0.6267 0.6007


PBE ThScTlPb, optimized geometry; N(E_F) = 4.68 states/eV/f.u.; V = 27.48 Å³ per atom; formation energy = -0.160 eV per atom
1.0
0.0000 3.8019 3.8019
3.8019 0.0000 3.8019
3.8019 3.8019 0.0000
Th Sc Tl Pb
1 1 1 1
direct
0.0000 0.0000 0.0000
0.5000 0.5000 0.5000
0.7500 0.7500 0.7500
0.2500 0.2500 0.2500


Number 2 is which compound? ThScTlPb